A relaxed Mn2NiHg crystal, computed with PBE.

Properties
total DFT energy (no corrections)	-5.64	eV/atom
magnetic moment	0.00	μB/f.u.
crystal system	orthorhombic

Cell lengths 2.696, 3.852, 5.277 Å; angles 90.00, 90.00, 90.00 degrees
Space group Pmmm (No. 47)
One atom of each set of equivalent atoms:
1 Mn 0.000 0.000 0.187 x2
2 Ni 0.500 0.500 0.000 x1
3 Hg 0.500 0.500 0.500 x1


A relaxed LaHfHS2 crystal, computed with PBE.

Properties
total DFT energy (no corrections)	-6.65	eV/atom
magnetic moment	0.00	μB/f.u.
crystal system	tetragonal

Cell lengths 4.986, 4.986, 3.773 Å; angles 90.00, 90.00, 90.00 degrees
Space group P4/mmm (No. 123)
One atom of each set of equivalent atoms:
1 La 0.000 0.000 0.000 x1
2 Hf 0.500 0.500 0.500 x1
3 H 0.500 0.500 0.000 x1
4 S 0.000 0.500 0.500 x2


A relaxed Ba2NbPd2 crystal, computed with PBE.

Properties
energy above the most stable polymorph in this dataset	0	meV per atom
magnetic moment	2.95	μB/f.u.
crystal system	tetragonal

Cell lengths 8.938, 8.938, 3.501 Å; angles 90.00, 90.00, 90.00 degrees
Space group P4/mbm (No. 127)
One atom of each set of equivalent atoms:
1 Ba 0.139 0.361 0.000 x4
2 Nb 0.000 0.000 0.000 x2
3 Pd 0.169 0.669 0.500 x4